## Sr2Co3Cl2O4 (GGA+U)

Data for a geometry-optimized Sr2Co3Cl2O4 structure.

The structure in POSCAR format:
```
Sr2Co3Cl2O4
1.0
-2.789 2.789 6.259
2.789 -2.789 6.259
2.789 2.789 -6.259
Sr Co Cl O
2 3 2 4
direct
0.138 0.138 0.000
0.862 0.862 0.000
0.000 0.500 0.500
0.500 0.000 0.500
0.500 0.500 0.000
0.250 0.750 0.500
0.750 0.250 0.500
0.248 0.248 0.496
0.248 0.752 0.000
0.752 0.248 0.000
0.752 0.752 0.504
```

Values from the calculation:
Space group: I4/mmm, No. 139
DFT total energy in eV/cell: -60.7